A relaxed structure of NbZnF2, computed with PBE.

**Formation energy without anion corrections**: -0.550 eV per atom
**D(E_F)**: 3.21 states/eV/cell
**E above lowest polymorph**: 939 meV/atom
**Crystal system**: tetragonal

Cell lengths 5.211, 5.211, 5.727 Å; angles 62.94, 62.94, 90.00 degrees
Atoms (fractional coordinates):
Nb 0.000 0.000 0.000
Nb 0.750 0.250 0.500
Zn 0.500 0.500 0.000
Zn 0.250 0.750 0.500
F 0.597 0.125 0.250
F 0.153 0.625 0.250
F 0.375 0.403 0.750
F 0.875 0.847 0.750